1.
The following is a DFT calculation (PBE-GGA) of a geometry-optimized RbCaIn2Sb structure.

Cell lengths 6.0546, 6.0546, 5.8813 Å; angles 90.00, 90.00, 90.00 degrees
Fractional coordinates of all 5 atoms:
Rb 0.0000 0.0000 0.0000
Ca 0.5000 0.5000 0.5000
In 0.0000 0.5000 0.5000
In 0.5000 0.0000 0.5000
Sb 0.5000 0.5000 0.0000

Results
E = -2.44 eV/atom
total magnetic moment = 0.00 μB per formula unit
N(E_F) = 4.01 states/eV/cell



2.
The following is a DFT calculation (PBE-GGA) of a geometry-optimized Rb2CaInSb2 structure.

Cell lengths 10.1221, 10.1221, 10.1221 Å; angles 137.84, 62.46, 136.14 degrees
Fractional coordinates of all 12 atoms:
Rb 0.1772 0.2343 0.4115
Rb 0.3228 0.7343 0.0571
Rb 0.6772 0.2657 0.9429
Rb 0.8228 0.7657 0.5885
Ca 0.2500 0.7500 0.5000
Ca 0.7500 0.2500 0.5000
In 0.2500 0.2500 0.0000
In 0.7500 0.7500 0.0000
Sb 0.1014 0.7528 0.8541
Sb 0.3986 0.2528 0.6514
Sb 0.6014 0.7472 0.3486
Sb 0.8986 0.2472 0.1459

Results
E = -3.03 eV/atom
total magnetic moment = 0.00 μB per formula unit
N(E_F) = 4.10 states/eV/cell



3.
The following is a DFT calculation (PBE-GGA) of a geometry-optimized RbCaInSb2 structure.

Cell lengths 6.1294, 6.1294, 5.8019 Å; angles 90.00, 90.00, 90.00 degrees
Fractional coordinates of all 5 atoms:
Rb 0.0000 0.0000 0.0000
Ca 0.5000 0.5000 0.5000
In 0.0000 0.0000 0.5000
Sb 0.0000 0.5000 0.0000
Sb 0.5000 0.0000 0.0000

Results
E = -2.10 eV/atom
total magnetic moment = 0.00 μB per formula unit
N(E_F) = 2.30 states/eV/cell



4.
The following is a DFT calculation (PBE-GGA) of a geometry-optimized RbCaSc2In structure.

Cell lengths 6.3696, 6.3696, 9.7961 Å; angles 90.00, 90.00, 90.00 degrees
Fractional coordinates of all 5 atoms:
Rb 0.0000 0.0000 0.0000
Ca 0.5000 0.5000 0.0000
Sc 0.0000 0.5000 0.5000
Sc 0.5000 0.0000 0.5000
In 0.0000 0.0000 0.5000

Results
E = -2.51 eV/atom
total magnetic moment = 0.38 μB per formula unit
energy of formation from the pure elements = 563 kJ/mol of formula units
N(E_F) = 10.58 states/eV/cell



5.
The following is a DFT calculation (PBE-GGA) of a geometry-optimized RbCaInSe3 structure.

Cell lengths 7.3300, 7.3300, 9.7940 Å; angles 100.95, 100.95, 48.55 degrees
Fractional coordinates of all 12 atoms:
Rb 0.1498 0.1498 0.0348
Rb 0.8502 0.8502 0.9652
Ca 0.1570 0.1570 0.5757
Ca 0.8430 0.8430 0.4243
In 0.4608 0.4608 0.6676
In 0.5392 0.5392 0.3324
Se 0.0176 0.0176 0.2992
Se 0.3281 0.3281 0.8221
Se 0.3501 0.3501 0.4031
Se 0.6499 0.6499 0.5969
Se 0.6719 0.6719 0.1779
Se 0.9824 0.9824 0.7008

Results
E = -3.81 eV/atom
total magnetic moment = 0.00 μB per formula unit



6.
The following is a DFT calculation (PBE-GGA) of a geometry-optimized RbCa2InSn structure.

Cell lengths 6.2072, 6.2072, 5.9379 Å; angles 90.00, 90.00, 90.00 degrees
Fractional coordinates of all 5 atoms:
Rb 0.0000 0.0000 0.0000
Ca 0.0000 0.5000 0.0000
Ca 0.5000 0.0000 0.0000
In 0.5000 0.5000 0.5000
Sn 0.0000 0.0000 0.5000

Results
E = -1.43 eV/atom
total magnetic moment = 0.78 μB per formula unit
energy of formation from the pure elements = 442 kJ/mol of formula units
N(E_F) = 5.18 states/eV/cell



7.
The following is a DFT calculation (PBE-GGA) of a geometry-optimized Rb2CaTaIn structure.

Cell lengths 6.7627, 6.7627, 6.1358 Å; angles 90.00, 90.00, 90.00 degrees
Fractional coordinates of all 5 atoms:
Rb 0.0000 0.5000 0.0000
Rb 0.5000 0.0000 0.0000
Ca 0.0000 0.0000 0.5000
Ta 0.0000 0.0000 0.0000
In 0.5000 0.5000 0.5000

Results
E = -2.35 eV/atom
total magnetic moment = 4.31 μB per formula unit
energy of formation from the pure elements = 656 kJ/mol of formula units
N(E_F) = 6.99 states/eV/cell



8.
The following is a DFT calculation (PBE-GGA) of a geometry-optimized RbCaV2In structure.

Cell lengths 5.6818, 5.6818, 6.0224 Å; angles 90.00, 90.00, 90.00 degrees
Fractional coordinates of all 5 atoms:
Rb 0.0000 0.0000 0.0000
Ca 0.5000 0.5000 0.5000
V 0.0000 0.5000 0.5000
V 0.5000 0.0000 0.5000
In 0.5000 0.5000 0.0000

Results
E = -3.33 eV/atom
total magnetic moment = 9.09 μB per formula unit
energy of formation from the pure elements = 705 kJ/mol of formula units
N(E_F) = 10.19 states/eV/cell



9.
The following is a DFT calculation (PBE-GGA) of a geometry-optimized RbCaIn2W structure.

Cell lengths 5.4796, 5.4796, 5.5267 Å; angles 90.00, 90.00, 90.00 degrees
Fractional coordinates of all 5 atoms:
Rb 0.0000 0.0000 0.0000
Ca 0.5000 0.5000 0.0000
In 0.0000 0.5000 0.5000
In 0.5000 0.0000 0.5000
W 0.5000 0.5000 0.5000

Results
E = -3.76 eV/atom
total magnetic moment = 0.00 μB per formula unit
energy of formation from the pure elements = 249 kJ/mol of formula units
N(E_F) = 6.59 states/eV/cell



10.
The following is a DFT calculation (PBE-GGA) of a geometry-optimized RbCaZn2In structure.

Cell lengths 5.8791, 5.8791, 6.9855 Å; angles 90.00, 90.00, 90.00 degrees
Fractional coordinates of all 5 atoms:
Rb 0.0000 0.0000 0.0000
Ca 0.0000 0.0000 0.5000
Zn 0.0000 0.5000 0.0000
Zn 0.5000 0.0000 0.0000
In 0.5000 0.5000 0.5000

Results
E = -0.77 eV/atom
total magnetic moment = 0.00 μB per formula unit
energy of formation from the pure elements = 427 kJ/mol of formula units
N(E_F) = 3.63 states/eV/cell



11.
The following is a DFT calculation (PBE-GGA) of a geometry-optimized CaInRe2 structure.

Cell lengths 3.1177, 3.1177, 8.3619 Å; angles 90.00, 90.00, 90.00 degrees
Fractional coordinates of all 4 atoms:
Ca 0.0000 0.0000 0.0000
In 0.5000 0.5000 0.3134
Re 0.0000 0.0000 0.5665
Re 0.5000 0.5000 0.7227

Results
E = -7.26 eV/atom
total magnetic moment = 0.00 μB per formula unit
energy of formation from the pure elements = 57 kJ/mol of formula units
N(E_F) = 2.79 states/eV/cell



12.
The following is a DFT calculation (PBE-GGA) of a geometry-optimized Ca2InRe structure.

Cell lengths 5.0372, 5.0372, 5.0372 Å; angles 60.00, 60.00, 60.00 degrees
Fractional coordinates of all 4 atoms:
Ca 0.0000 0.0000 0.0000
Ca 0.2500 0.2500 0.2500
In 0.7500 0.7500 0.7500
Re 0.5000 0.5000 0.5000

Results
E = -4.33 eV/atom
total magnetic moment = 0.00 μB per formula unit
energy of formation from the pure elements = 182 kJ/mol of formula units
N(E_F) = 1.96 states/eV/cell